(1)
First-principles (PBE-GGA) data for an optimized crystal structure of Ti5AlCo3, as listed in Alexandria.

Values from the calculation:
The volume comes out at 15.8 Å³/atom.

The structure in CIF format:
```
data_Ti5AlCo3
_chemical_formula_sum 'Ti20 Al4 Co12'
_cell_length_a 9.1704
_cell_length_b 6.9895
_cell_length_c 9.0987
_cell_angle_alpha 90.00
_cell_angle_beta 102.96
_cell_angle_gamma 90.00
_space_group_name_H-M_alt 'C 1 2/m 1'
_space_group_IT_number 12
loop_
_space_group_symop_operation_xyz
'x,y,z'
'-x,-y,-z'
'-x,y,-z'
'x,-y,z'
'x+1/2,y+1/2,z'
'-x+1/2,-y+1/2,-z'
'-x+1/2,y+1/2,-z'
'x+1/2,-y+1/2,z'
loop_
_atom_site_label
_atom_site_type_symbol
_atom_site_fract_x
_atom_site_fract_y
_atom_site_fract_z
Ti1 Ti 0.0000 0.1834 0.0000
Ti2 Ti 0.0264 0.0000 0.3363
Ti3 Ti 0.1971 0.2921 0.6505
Ti4 Ti 0.2354 0.0000 0.8812
Al1 Al 0.0299 0.5000 0.2554
Co1 Co 0.0000 0.5000 0.0000
Co2 Co 0.0000 0.5000 0.5000
Co3 Co 0.2371 0.0000 0.5553
Co4 Co 0.2456 0.5000 0.8681
```



(2)
First-principles (PBE-GGA) data for an optimized crystal structure of Ac2La2Cd, as listed in Alexandria.

Values from the calculation:
The energy relative to the lowest polymorph listed for this composition is 0.0 meV/atom. The volume comes out at 37.7 Å³/atom.

The structure in CIF format:
```
data_Ac2La2Cd
_chemical_formula_sum 'Ac4 La4 Cd2'
_cell_length_a 3.9410
_cell_length_b 3.9410
_cell_length_c 24.3029
_cell_angle_alpha 90.00
_cell_angle_beta 90.00
_cell_angle_gamma 90.00
_space_group_name_H-M_alt 'I 4/m m m'
_space_group_IT_number 139
_space_group_name_Hall '-I 4 2'
loop_
_atom_site_label
_atom_site_type_symbol
_atom_site_fract_x
_atom_site_fract_y
_atom_site_fract_z
Ac1 Ac 0.0000 0.0000 0.0879
La1 La 0.0000 0.0000 0.3009
Cd1 Cd 0.0000 0.0000 0.5000
```



no.,DFT formation energy (kJ/mol of formula units)
1,14
2,-50